Record 1
Compound: HgBiCl2
Source: Alexandria
Functional: PBE
Structure: relaxed

Structure (POSCAR):
```
HgBiCl2
1.0
3.410 2.240 10.070
6.557 1.493 8.535
5.173 4.785 8.271
Hg Cl Bi
1 2 1
Direct
0.000 0.000 0.000
0.900 0.900 0.900
0.100 0.100 0.100
0.500 0.500 0.500
```

Results
* polymorph energy (0 for the lowest one): 0.166 eV per atom
* SG: R-3m

***

Record 2
Compound: Hg3BiCl
Source: Alexandria
Functional: PBE
Structure: relaxed

Structure (POSCAR):
```
Hg3BiCl
1.0
5.485 0.000 0.000
0.000 5.485 0.000
0.000 0.000 5.485
Bi Hg Cl
1 3 1
Direct
0.500 0.500 0.500
0.500 0.000 0.000
0.000 0.000 0.500
0.000 0.500 0.000
0.000 0.000 0.000
```

Results
* polymorph energy (0 for the lowest one): 0.450 eV per atom
* SG: Pm-3m